! LaDy12Y7 | Alexandria | PBE | relaxed; values from VASP
! symmetry = Im-3 (204)
! distance to the lowest polymorph of the same formula = 463 meV/atom
! energy of formation = 0.709 eV per atom
! magnetization = 0.000 μB per cell
! crystal system = cubic
&SYSTEM
  ibrav = 0, nat = 20, ntyp = 3
/
ATOMIC_SPECIES
La 138.91 La.upf
Dy 162.50 Dy.upf
Y 88.91 Y.upf
CELL_PARAMETERS angstrom
-9.4713 -0.9237 -2.3024
4.7375 4.3767 -7.3662
3.8601 -8.8624 1.5548
ATOMIC_POSITIONS crystal
La 0.0000 0.0000 0.0000
Dy 0.4823 0.7416 0.7407
Dy 0.0008 0.7416 0.2593
Dy 0.5177 0.2584 0.2593
Dy 0.9992 0.2584 0.7407
Dy 0.7407 0.9992 0.2584
Dy 0.7407 0.4823 0.7416
Dy 0.2593 0.0008 0.7416
Dy 0.2593 0.5177 0.2584
Dy 0.7416 0.7407 0.4823
Dy 0.2584 0.2593 0.5177
Dy 0.7416 0.2593 0.0008
Dy 0.2584 0.7407 0.9992
Y 0.5000 0.5000 0.0000
Y 0.0000 0.5000 0.5000
Y 0.5000 0.0000 0.5000
Y 0.5000 0.5000 0.5000
Y 0.0000 0.0000 0.5000
Y 0.5000 0.0000 0.0000
Y 0.0000 0.5000 0.0000